# HoEr2Tl

A relaxed HoEr2Tl crystal (PBE, the Alexandria database).

abc: 6.6608 5.2942 6.6690
angles: 90.00 100.71 90.00
Fractional positions:
Ho  0.1612  0.2500  0.4256
Ho  0.8388  0.7500  0.5744
Er  0.0829  0.2500  0.9064
Er  0.3650  0.7500  0.7768
Er  0.6350  0.2500  0.2232
Er  0.9171  0.7500  0.0936
Tl  0.3867  0.7500  0.2609
Tl  0.6133  0.2500  0.7391

Calculated values
Space group = P2_1/m, No. 11
Energy above the most stable polymorph in this dataset = 0.000 eV per atom
Size of the total moment = 0.000 μB per formula unit
ΔH_f (0 K) = -182 meV/atom
Crystal system = monoclinic

---

# AuC2

A relaxed AuC2 crystal (PBE, the Alexandria database).

abc: 6.0529 6.0529 3.2416
angles: 90.00 90.00 120.00
Fractional positions:
Au  0.0000  0.0000  0.0000
Au  0.3333  0.6667  0.5000
Au  0.6667  0.3333  0.5000
C  0.0000  0.2759  0.5000
C  0.0000  0.6212  0.0000
C  0.2759  0.0000  0.5000
C  0.3788  0.3788  0.0000
C  0.6212  0.0000  0.0000
C  0.7241  0.7241  0.5000

Calculated values
Space group = P-62m, No. 189
Energy above the most stable polymorph in this dataset = 2.740 eV per atom
Size of the total moment = 0.000 μB per formula unit
ΔH_f (0 K) = 3006 meV/atom
Crystal system = hexagonal

---

# Nd2GdLu

A relaxed Nd2GdLu crystal (PBE, the Alexandria database).

abc: 11.8450 11.8450 11.8450
angles: 17.53 17.53 17.53
Fractional positions:
Nd  0.2487  0.2487  0.2487
Nd  0.7513  0.7513  0.7513
Gd  0.0000  0.0000  0.0000
Lu  0.5000  0.5000  0.5000

Calculated values
Space group = R-3m, No. 166
Energy above the most stable polymorph in this dataset = 0.000 eV per atom
Size of the total moment = 7.157 μB per formula unit
ΔH_f (0 K) = 19 meV/atom
Crystal system = trigonal

---

# KCaNi2

A relaxed KCaNi2 crystal (PBE, the Alexandria database).

abc: 4.7630 4.7630 3.8667
angles: 90.00 90.00 90.00
Fractional positions:
K  0.0000  0.0000  0.0000
Ca  0.5000  0.5000  0.0000
Ni  0.0000  0.5000  0.5000
Ni  0.5000  0.0000  0.5000

Calculated values
Space group = P4/mmm, No. 123
Energy above the most stable polymorph in this dataset = 0.503 eV per atom
Size of the total moment = 0.000 μB per formula unit
ΔH_f (0 K) = 625 meV/atom
Crystal system = tetragonal

---

Q: The highest size of the total moment belongs to which entry?
A: Nd2GdLu

---

Q: energy above the most stable polymorph in this dataset of number 3 (Nd2GdLu)?
A: 0.000 eV per atom